A plane-wave DFT calculation with PBE was carried out for a geometry-optimized NaTi4Te8 structure.

Output
As for the energy above the most stable polymorph in this dataset: 0 meV per atom. The uncorrected formation energy comes out at -9.61 eV per formula unit.

Cell lengths 7.5855, 7.5855, 24.6183 Å; angles 90.00, 90.00, 120.00 degrees
Space group R-3m (No. 166, hexagonal axes)
One atom of each set of equivalent atoms:
Na 0.0000 0.0000 0.0000 x3
Ti 0.0000 0.0000 0.5000 x3
Ti 0.0000 0.5000 0.5000 x9
Te 0.0000 0.0000 0.2366 x6
Te 0.0018 0.5009 0.2365 x18